Record 1
VASP calculation (PBE) on MgCd4Ag after structural relaxation.

The structure belongs to space group P4/mmm (No. 123); the cell edges are 3.773, 3.773 and 9.051 Å and the angles 90.00°, 90.00° and 90.00°. The inequivalent atoms are Mg at (0.000, 0.000, 0.000), Cd at (0.000, 0.000, 0.338), Cd at (0.500, 0.500, 0.170) and Ag at (0.500, 0.500, 0.500).

As for the formation energy: -0.035 eV per atom. The calculation puts the magnetic moment at 0.00 μB/atom. The calculation puts the density of states at the Fermi level at 2.30 states/eV/f.u.

=====

Record 2
VASP calculation (PBE) on SnHg4S6 after structural relaxation.

The structure belongs to space group Cc (No. 9); the cell edges are 12.792, 7.493 and 12.826 Å and the angles 90.00°, 108.87° and 90.00°. The inequivalent atoms are Sn at (0.000, 0.232, 0.000), Hg at (0.068, 0.068, 0.755), Hg at (0.230, 0.402, 0.251), Hg at (0.246, 0.116, 0.560), Hg at (0.429, 0.205, 0.909), S at (0.119, 0.225, 0.369), S at (0.197, 0.236, 0.063), S at (0.245, 0.254, 0.748), S at (0.425, 0.229, 0.305), S at (0.425, 0.472, 0.056) and S at (0.445, 0.004, 0.576).

The calculation puts the magnetic moment at 0.00 μB/atom. The uncorrected formation energy is -1.51 eV per formula unit.

=====

Record 3
VASP calculation (PBE) on TaFe3N after structural relaxation.

The structure belongs to space group Pm-3m (No. 221); the cell edges are 3.801, 3.801 and 3.801 Å and the angles 90.00°, 90.00° and 90.00°. The inequivalent atoms are Ta at (0.000, 0.000, 0.000), Fe at (0.000, 0.500, 0.500) and N at (0.500, 0.500, 0.500).

The calculation puts the magnetic moment at 0.51 μB/atom. The uncorrected formation energy is -0.54 eV per formula unit. The calculation puts the density of states at the Fermi level at 3.53 states/eV/f.u.

=====

Record 4
VASP calculation (PBE) on LiPrSb2Pd4 after structural relaxation.

The structure belongs to space group R-3m (No. 166, hexagonal axes); the cell edges are 4.5354, 4.5354 and 25.7195 Å and the angles 90.00°, 90.00° and 120.00°. The inequivalent atoms are Li at (0.0000, 0.0000, 0.0000), Pr at (0.0000, 0.0000, 0.5000), Sb at (0.0000, 0.0000, 0.2583), Pd at (0.0000, 0.0000, 0.0986) and Pd at (0.0000, 0.0000, 0.3650).

The calculation puts the magnetic moment at 0.00 μB/atom. The uncorrected formation energy is -5.71 eV per formula unit. The calculation puts the density of states at the Fermi level at 3.75 states/eV/f.u.